a | # NaYZnSe3

A relaxed structure of NaYZnSe3 (PBE, the Open Quantum Materials Database).

## Properties
space group: Cmcm
crystal system: orthorhombic
M_tot: 0.0 μB per formula unit

a b c (Å): 4.0506 7.1268 10.9512
angles (deg): 90.00 90.00 73.49
Last column: nearest neighbours and their distance in Å.
Positions (direct):
1 Y 0.0000 0.0000 0.5000  6 Se 2.86-2.95
2 Y 0.0000 0.0000 0.0000  6 Se 2.86-2.95
3 Zn 0.5314 0.9372 0.2500  4 Se 2.45-2.54
4 Zn 0.4686 0.0628 0.7500  4 Se 2.45-2.54
5 Se 0.6370 0.7260 0.0697  1 Zn 2.45
6 Se 0.3630 0.2740 0.5697  1 Zn 2.45
7 Se 0.0808 0.8383 0.7500  2 Zn 2.54
8 Se 0.9192 0.1617 0.2500  2 Zn 2.54
9 Se 0.3630 0.2740 0.9303  1 Zn 2.45
10 Se 0.6370 0.7260 0.4303  1 Zn 2.45
11 Na 0.7569 0.4861 0.7500  6 Se 3.15-3.18
12 Na 0.2431 0.5139 0.2500  6 Se 3.15-3.18



b | # NaYZnSe3

A relaxed structure of NaYZnSe3 (PBE, the Open Quantum Materials Database).

## Properties
space group: C2/m
crystal system: monoclinic
M_tot: 0.0 μB per formula unit

a b c (Å): 9.6539 9.6539 8.1799
angles (deg): 103.25 103.25 24.23
Last column: nearest neighbours and their distance in Å.
Positions (direct):
1 Zn 0.5346 0.5346 0.2287  4 Se 2.44-2.73
2 Zn 0.4654 0.4654 0.7713  4 Se 2.44-2.73
3 Se 0.3275 0.3275 0.1543  3 Y 2.81-2.82, 2 Na 2.99
4 Se 0.6725 0.6725 0.8457  3 Y 2.81-2.82, 2 Na 2.99
5 Se 0.5000 0.5000 0.5000  2 Zn 2.46
6 Se 0.3328 0.3328 0.6744  1 Zn 2.44
7 Se 0.0000 0.0000 0.0000  4 Zn 2.73
8 Se 0.6672 0.6672 0.3256  1 Zn 2.44
9 Y 0.8255 0.8255 0.9136  5 Se 2.81-2.84
10 Y 0.1745 0.1745 0.0864  5 Se 2.81-2.84
11 Na 0.8767 0.8767 0.4261  6 Se 2.99-3.11
12 Na 0.1233 0.1233 0.5739  6 Se 2.99-3.11



c | # NaYZnSe3

A relaxed structure of NaYZnSe3 (PBE, the Open Quantum Materials Database).

## Properties
space group: Pnma
crystal system: orthorhombic
M_tot: 0.0 μB per formula unit

a b c (Å): 13.9431 4.0573 11.1267
angles (deg): 90.00 90.00 90.00
Last column: nearest neighbours and their distance in Å.
Positions (direct):
1 Zn 0.5119 0.2500 0.9044  4 Se 2.44-2.58
2 Zn 0.4881 0.7500 0.0956  4 Se 2.44-2.58
3 Zn 0.0119 0.2500 0.5956  4 Se 2.44-2.58
4 Zn 0.9881 0.7500 0.4044  4 Se 2.44-2.58
5 Se 0.1408 0.2500 0.7437  1 Zn 2.44
6 Se 0.8592 0.7500 0.2563  1 Zn 2.44
7 Se 0.6408 0.2500 0.7563  1 Zn 2.44
8 Se 0.0958 0.2500 0.3894  3 Zn 2.53-2.58
9 Se 0.4042 0.7500 0.8894  3 Zn 2.53-2.58
10 Se 0.5958 0.2500 0.1106  3 Zn 2.53-2.58
11 Se 0.9042 0.7500 0.6106  3 Zn 2.53-2.58
12 Se 0.6087 0.7500 0.4283  3 Y 2.82-2.86, 2 Na 2.99
13 Se 0.3592 0.7500 0.2437  1 Zn 2.44
14 Se 0.1087 0.7500 0.0717  3 Y 2.82-2.86, 2 Na 2.99
15 Se 0.8913 0.2500 0.9283  3 Y 2.82-2.86, 2 Na 2.99
16 Se 0.3913 0.2500 0.5717  3 Y 2.82-2.86, 2 Na 2.99
17 Y 0.5191 0.7500 0.6560  6 Se 2.82-3.05
18 Y 0.4809 0.2500 0.3440  6 Se 2.82-3.05
19 Y 0.9809 0.2500 0.1560  6 Se 2.82-3.05
20 Y 0.0191 0.7500 0.8440  6 Se 2.82-3.05
21 Na 0.7657 0.2500 0.4379  4 Se 2.99-3.15
22 Na 0.2657 0.2500 0.0621  4 Se 2.99-3.15
23 Na 0.2343 0.7500 0.5621  4 Se 2.99-3.15
24 Na 0.7343 0.7500 0.9379  4 Se 2.99-3.15



Name the least stable of them. b.



a | # NaYZnSe3

A relaxed structure of NaYZnSe3 (PBE, the Open Quantum Materials Database).

## Properties
space group: P-1
crystal system: triclinic
M_tot: 0.0 μB per formula unit

a b c (Å): 4.0665 11.0032 13.5609
angles (deg): 90.05 90.04 90.01
Last column: nearest neighbours and their distance in Å.
Positions (direct):
1 Se 0.7503 0.2591 0.1700  2 Zn 2.54
2 Se 0.7501 0.0514 0.8801  1 Zn 2.45
3 Se 0.2493 0.2410 0.6702  2 Zn 2.54
4 Se 0.7500 0.4125 0.8946  1 Zn 2.44
5 Se 0.2504 0.7409 0.8300  2 Zn 2.54
6 Se 0.7497 0.5507 0.6200  1 Zn 2.45
7 Se 0.7498 0.9119 0.6056  1 Zn 2.44
8 Se 0.2502 0.4492 0.3801  1 Zn 2.46
9 Se 0.7500 0.7591 0.3297  2 Zn 2.54
10 Se 0.2497 0.5874 0.1053  1 Zn 2.44
11 Se 0.2504 0.0881 0.3944  1 Zn 2.44
12 Se 0.2495 0.9488 0.1198  1 Zn 2.45
13 Y 0.2501 0.9875 0.7394  6 Se 2.85-2.98
14 Y 0.2496 0.4874 0.7606  6 Se 2.85-2.97
15 Y 0.7498 0.5126 0.2395  6 Se 2.85-2.97
16 Y 0.7501 0.0127 0.2606  6 Se 2.85-2.98
17 Na 0.7495 0.7868 0.0046  7 Se 3.12-3.37
18 Na 0.2507 0.7119 0.5048  7 Se 3.11-3.35
19 Na 0.7509 0.2879 0.4953  7 Se 3.12-3.35
20 Na 0.2499 0.2130 0.9956  7 Se 3.12-3.36
21 Zn 0.7493 0.2389 0.7825  4 Se 2.44-2.54
22 Zn 0.7504 0.7382 0.7178  4 Se 2.44-2.54
23 Zn 0.2506 0.2615 0.2820  4 Se 2.44-2.54
24 Zn 0.2497 0.7614 0.2174  4 Se 2.44-2.54



b | # NaYZnSe3

A relaxed structure of NaYZnSe3 (PBE, the Open Quantum Materials Database).

## Properties
space group: Pnma
crystal system: orthorhombic
M_tot: 0.0 μB per formula unit

a b c (Å): 8.2848 4.1684 16.5319
angles (deg): 90.00 90.00 90.00
Last column: nearest neighbours and their distance in Å.
Positions (direct):
1 Se 0.0000 0.7500 0.9148  2 Zn 2.54
2 Se 0.3016 0.7500 0.2144  1 Zn 2.39
3 Se 0.1984 0.2500 0.7144  1 Zn 2.39
4 Se 0.8737 0.2500 0.5570  1 Zn 2.50
5 Se 0.3737 0.2500 0.9430  1 Zn 2.50
6 Se 0.8016 0.7500 0.2856  1 Zn 2.39
7 Se 0.5000 0.7500 0.5852  2 Zn 2.54
8 Se 0.5000 0.2500 0.4148  2 Zn 2.54
9 Se 0.6263 0.7500 0.0570  1 Zn 2.50
10 Se 0.6984 0.2500 0.7856  1 Zn 2.39
11 Se 0.1263 0.7500 0.4430  1 Zn 2.50
12 Se 0.0000 0.2500 0.0852  2 Zn 2.54
13 Y 0.7395 0.2500 0.9535  7 Se 2.80-3.07
14 Y 0.2605 0.7500 0.0465  7 Se 2.80-3.07
15 Y 0.2395 0.2500 0.5465  7 Se 2.80-3.07
16 Y 0.7605 0.7500 0.4535  7 Se 2.80-3.07
17 Na 0.5667 0.2500 0.2212  5 Se 3.03-3.25
18 Na 0.9333 0.7500 0.7212  5 Se 3.03-3.25
19 Na 0.0667 0.2500 0.2788  5 Se 3.03-3.25
20 Na 0.4333 0.7500 0.7788  5 Se 3.03-3.25
21 Zn 0.1283 0.2500 0.8549  4 Se 2.39-2.54
22 Zn 0.8717 0.7500 0.1451  4 Se 2.39-2.54
23 Zn 0.6283 0.2500 0.6451  4 Se 2.39-2.54
24 Zn 0.3717 0.7500 0.3549  4 Se 2.39-2.54



c | # NaYZnSe3

A relaxed structure of NaYZnSe3 (PBE, the Open Quantum Materials Database).

## Properties
space group: P2_1/m
crystal system: monoclinic
M_tot: 0.0 μB per formula unit

a b c (Å): 8.2728 4.0765 9.7669
angles (deg): 90.00 104.58 90.00
Last column: nearest neighbours and their distance in Å.
Positions (direct):
1 Se 0.2733 0.2500 0.4640  3 Zn 2.52-2.58
2 Se 0.0608 0.2500 0.8434  3 Y 2.85-2.86, 2 Na 2.98
3 Se 0.9392 0.7500 0.1566  3 Y 2.85-2.86, 2 Na 2.98
4 Se 0.5773 0.2500 0.8512  1 Zn 2.44
5 Se 0.7267 0.7500 0.5360  3 Zn 2.52-2.58
6 Se 0.4227 0.7500 0.1488  1 Zn 2.44
7 Na 0.2919 0.7500 0.7756  4 Se 2.98-3.07
8 Na 0.7081 0.2500 0.2244  4 Se 2.98-3.07
9 Y 0.8236 0.7500 0.8554  6 Se 2.85-3.02
10 Y 0.1764 0.2500 0.1446  6 Se 2.85-3.02
11 Zn 0.4171 0.7500 0.3979  4 Se 2.44-2.58
12 Zn 0.5829 0.2500 0.6021  4 Se 2.44-2.58



Name the least stable of them. b.



a | # NaSrSmTe3

A relaxed structure of NaSrSmTe3 (PBE, the Open Quantum Materials Database).

## Properties
space group: C2/m
crystal system: monoclinic
M_tot: 0.0 μB per formula unit

a b c (Å): 9.9560 9.9560 9.7327
angles (deg): 104.33 104.33 26.04
Last column: nearest neighbours and their distance in Å.
Positions (direct):
1 Te 0.3331 0.3331 0.6427  3 Sm 3.13-3.18, 1 Na 3.29
2 Te 0.6814 0.6814 0.8242  2 Sm 3.16, 1 Na 3.27, 1 Sr 3.46
3 Te 0.0000 0.0000 0.5000  4 Na 2.98, 2 Sm 3.13
4 Te 0.6669 0.6669 0.3573  3 Sm 3.13-3.18, 1 Na 3.29
5 Te 0.5000 0.5000 0.0000  2 Na 2.91
6 Te 0.3186 0.3186 0.1758  2 Sm 3.16, 1 Na 3.27, 1 Sr 3.46
7 Sr 0.1344 0.1344 0.0676  7 Te 3.38-3.55
8 Sr 0.8656 0.8656 0.9324  7 Te 3.38-3.55
9 Na 0.5079 0.5079 0.7049  3 Te 2.91-2.98
10 Na 0.4921 0.4921 0.2951  3 Te 2.91-2.98
11 Sm 0.1669 0.1669 0.5894  6 Te 3.13-3.18
12 Sm 0.8331 0.8331 0.4106  6 Te 3.13-3.18



b | # NaSrSmTe3

A relaxed structure of NaSrSmTe3 (PBE, the Open Quantum Materials Database).

## Properties
space group: Pnma
crystal system: orthorhombic
M_tot: 0.0 μB per formula unit

a b c (Å): 11.6943 4.5936 14.9364
angles (deg): 90.00 90.00 90.00
Last column: nearest neighbours and their distance in Å.
Positions (direct):
1 Sr 0.7285 0.2500 0.0076  7 Te 3.33-3.59
2 Sr 0.2715 0.7500 0.9924  7 Te 3.33-3.59
3 Sr 0.2285 0.2500 0.4924  7 Te 3.33-3.59
4 Sr 0.7715 0.7500 0.5076  7 Te 3.33-3.59
5 Te 0.4609 0.2500 0.8895  1 Na 2.92, 2 Sm 3.22
6 Te 0.4272 0.7500 0.3940  1 Na 2.93, 2 Sm 3.16
7 Te 0.2371 0.2500 0.1520  2 Na 2.88
8 Te 0.9609 0.2500 0.6105  1 Na 2.92, 2 Sm 3.22
9 Te 0.9272 0.7500 0.1060  1 Na 2.93, 2 Sm 3.16
10 Te 0.5728 0.2500 0.6060  1 Na 2.93, 2 Sm 3.16
11 Te 0.0391 0.7500 0.3895  1 Na 2.92, 2 Sm 3.22
12 Te 0.7371 0.2500 0.3480  2 Na 2.88
13 Te 0.7629 0.7500 0.8480  2 Na 2.88
14 Te 0.5391 0.7500 0.1105  1 Na 2.92, 2 Sm 3.22
15 Te 0.0728 0.2500 0.8940  1 Na 2.93, 2 Sm 3.16
16 Te 0.2629 0.7500 0.6520  2 Na 2.88
17 Na 0.7650 0.2500 0.7317  4 Te 2.88-2.93
18 Na 0.2350 0.7500 0.2683  4 Te 2.88-2.93
19 Na 0.7350 0.7500 0.2317  4 Te 2.88-2.93
20 Na 0.2650 0.2500 0.7683  4 Te 2.88-2.93
21 Sm 0.4839 0.2500 0.2553  6 Te 3.16-3.27
22 Sm 0.9839 0.2500 0.2447  6 Te 3.16-3.27
23 Sm 0.5161 0.7500 0.7447  6 Te 3.16-3.27
24 Sm 0.0161 0.7500 0.7553  6 Te 3.16-3.27



Name the least stable of them. b.



a | # NaSmTc

A relaxed structure of NaSmTc (PBE, the Open Quantum Materials Database).

## Properties
space group: F-43m
crystal system: cubic
M_tot: 1.1 μB per formula unit

a b c (Å): 4.8198 4.8198 4.8198
angles (deg): 60.00 60.00 60.00
Last column: nearest neighbours and their distance in Å.
Positions (direct):
1 Tc 0.7500 0.7500 0.7500  4 Sm 2.95
2 Na 0.2500 0.2500 0.2500  4 Sm 2.95
3 Sm 0.0000 0.0000 0.0000  4 Tc 2.95, 4 Na 2.95



b | # NaSmTc

A relaxed structure of NaSmTc (PBE, the Open Quantum Materials Database).

## Properties
space group: F-43m
crystal system: cubic
M_tot: 1.4 μB per formula unit

a b c (Å): 4.7291 4.7291 4.7291
angles (deg): 60.00 60.00 60.00
Last column: nearest neighbours and their distance in Å.
Positions (direct):
1 Na 0.0000 0.0000 0.0000  4 Sm 2.90, 4 Tc 2.90
2 Tc 0.7500 0.7500 0.7500  4 Na 2.90
3 Sm 0.2500 0.2500 0.2500  4 Na 2.90



Name the least stable of them. a.